VASP calculation (PBE) on a geometry-optimized NpBeH4 structure.

Output
Excess energy over the best structure of this formula in the dataset ... 4 meV/atom
Space-group type ... Pmn2_1
Magnetic moment ... 9.50 Bohr magnetons per cell
E_tot ... -30.5 eV/f.u.

abc: 3.8576 4.4755 6.1451
angles: 90.00 90.00 90.00
Each line ends with the local moment (μB).
Fractional positions:
1 Np 0.2556 0.9799 0.0000  4.18
2 Np 0.7444 0.4799 0.5000  4.18
3 Be 0.7106 0.5076 0.0000  0.05
4 Be 0.2894 0.0076 0.5000  0.05
5 H 0.3248 0.4847 0.0000  -0.01
6 H 0.7658 0.1975 0.0000  -0.01
7 H 0.7749 0.7292 0.1740  -0.01
8 H 0.2251 0.2292 0.3260  -0.01
9 H 0.2342 0.6975 0.5000  -0.01
10 H 0.6752 0.9847 0.5000  -0.01
11 H 0.2251 0.2292 0.6740  -0.01
12 H 0.7749 0.7292 0.8260  -0.01